(1)
DFT (PBE) results for a relaxed Sc3SnS crystal.

Computed properties:
Mass density (g/cm3): 3.89
Size of the total moment (μB per cell): 1.2
E (Ry/atom): -0.46306
Energy relative to the elements, uncorrected (eV/atom): -0.88

Cell lengths 6.173, 5.070, 8.066 Å; angles 90.00, 104.72, 90.00 degrees
Element x y z (fractional)
Sc 0.032 0.250 0.120
Sc 0.371 0.750 0.332
Sc 0.449 0.750 0.884
Sc 0.551 0.250 0.116
Sc 0.629 0.250 0.668
Sc 0.968 0.750 0.880
Sn 0.175 0.250 0.780
Sn 0.825 0.750 0.220
S 0.368 0.250 0.365
S 0.632 0.750 0.635

---

(2)
DFT (PBE) results for a relaxed Sc6SnS8 crystal.

Computed properties:
Mass density (g/cm3): 2.80
Size of the total moment (μB per cell): 1.5
E (Ry/atom): -0.48140
Energy relative to the elements, uncorrected (eV/atom): -1.55

Cell lengths 7.272, 7.272, 7.272 Å; angles 93.68, 93.68, 93.68 degrees
Element x y z (fractional)
Sc 0.066 0.693 0.873
Sc 0.127 0.934 0.307
Sc 0.307 0.127 0.934
Sc 0.693 0.873 0.066
Sc 0.873 0.066 0.693
Sc 0.934 0.307 0.127
Sn 0.500 0.500 0.500
S 0.082 0.352 0.811
S 0.189 0.918 0.648
S 0.257 0.257 0.257
S 0.352 0.811 0.082
S 0.648 0.189 0.918
S 0.743 0.743 0.743
S 0.811 0.082 0.352
S 0.918 0.648 0.189

---

(3)
DFT (PBE) results for a relaxed Sc6SnS3 crystal.

Computed properties:
Mass density (g/cm3): 3.91
Size of the total moment (μB per cell): 0.6
E (Ry/atom): -0.49113
Energy relative to the elements, uncorrected (eV/atom): -1.24

Cell lengths 10.619, 3.550, 11.242 Å; angles 90.00, 103.86, 90.00 degrees
Element x y z (fractional)
Sc 0.024 0.250 0.137
Sc 0.124 0.750 0.455
Sc 0.202 0.250 0.749
Sc 0.311 0.250 0.273
Sc 0.320 0.750 0.032
Sc 0.419 0.250 0.594
Sc 0.581 0.750 0.406
Sc 0.680 0.250 0.968
Sc 0.689 0.750 0.727
Sc 0.798 0.750 0.251
Sc 0.876 0.250 0.545
Sc 0.976 0.750 0.863
Sn 0.449 0.750 0.821
Sn 0.551 0.250 0.179
S 0.036 0.750 0.651
S 0.142 0.250 0.957
S 0.353 0.750 0.434
S 0.647 0.250 0.566
S 0.858 0.750 0.043
S 0.964 0.250 0.349

---

(4)
DFT (PBE) results for a relaxed ScSnS2 crystal.

Computed properties:
Mass density (g/cm3): 3.34
Size of the total moment (μB per cell): 1.3
E (Ry/atom): -0.37717
Energy relative to the elements, uncorrected (eV/atom): -0.48

Cell lengths 4.070, 4.070, 23.709 Å; angles 90.00, 90.00, 120.00 degrees
Element x y z (fractional)
Sc 0.000 0.000 0.000
Sc 0.333 0.667 0.667
Sc 0.667 0.333 0.333
Sn 0.000 0.000 0.500
Sn 0.333 0.667 0.167
Sn 0.667 0.333 0.833
S 0.000 0.000 0.101
S 0.000 0.000 0.899
S 0.333 0.667 0.566
S 0.333 0.667 0.767
S 0.667 0.333 0.233
S 0.667 0.333 0.434